(1)
The following is a PBE calculation of a relaxed Mn2GaNi2Pt5 crystal, from the Alexandria database.

Cell: 8.8725 8.8725 3.8803 Å, 90.00 90.00 90.00°
Closest atoms and distances in Å follow each position.
Space group P4/mbm (No. 127)
Asymmetric unit:
Mn 0.1677 0.3323 0.0000  3 Ni 2.56-2.65, 2 Pt 2.86
Ga 0.0000 0.0000 0.0000  8 Pt 2.72
Ni 0.1279 0.6279 0.0000  6 Pt 2.51-2.52, 3 Mn 2.56-2.65
Pt 0.0000 0.5000 0.5000  4 Ni 2.52, 4 Pt 2.77
Pt 0.0808 0.8016 0.5000  2 Ni 2.51, 4 Pt 2.69-2.77, 2 Ga 2.72

Values from the calculation:
For the formation energy, the calculation gives -0.223 eV/atom. As for the crystal system: tetragonal. The calculation puts the total energy at -6.54 eV per atom.

=====

(2)
The following is a PBE calculation of a relaxed Mn2Ga2Ni7Pt crystal, from the Alexandria database.

Cell: 5.1291 5.1699 11.4423 Å, 90.00 90.00 90.00°
Closest atoms and distances in Å follow each position.
Space group Cmmm (No. 65)
Asymmetric unit:
Mn 0.0000 0.0000 0.1759  6 Ni 2.44-2.59, 4 Ga 2.57-2.59
Ga 0.0000 0.5000 0.1902  6 Ni 2.48-2.49, 4 Mn 2.57-2.59
Ni 0.0000 0.0000 0.5000  4 Pt 2.56-2.58, 8 Ni 2.60
Ni 0.0000 0.2673 0.0000  3 Ni 2.41-2.57, 2 Mn 2.44, 2 Ga 2.49
Ni 0.2500 0.2500 0.3373  2 Ga 2.48, 6 Ni 2.56-2.60, 2 Mn 2.59, 2 Pt 2.60
Pt 0.0000 0.5000 0.5000  12 Ni 2.56-2.60

Values from the calculation:
For the formation energy, the calculation gives -0.070 eV/atom. As for the crystal system: orthorhombic. The calculation puts the total energy at -5.98 eV per atom.

=====

(3)
The following is a PBE calculation of a relaxed MnGa2NiPt crystal, from the Alexandria database.

Cell: 4.5186 4.5186 5.0442 Å, 90.00 90.00 90.00°
Closest atoms and distances in Å follow each position.
Space group P4/mmm (No. 123)
Asymmetric unit:
Mn 0.0000 0.0000 0.0000  4 Pt 3.20, 8 Ga 3.39
Ga 0.0000 0.5000 0.5000  2 Ni 2.26
Ni 0.5000 0.5000 0.5000  4 Ga 2.26, 2 Pt 2.52
Pt 0.5000 0.5000 0.0000  2 Ni 2.52

Values from the calculation:
For the formation energy, the calculation gives 0.361 eV/atom. As for the crystal system: tetragonal. The calculation puts the total energy at -5.05 eV per atom.

=====

(4)
The following is a PBE calculation of a relaxed MnGa2Ni7Pt2 crystal, from the Alexandria database.

Cell: 4.7965 4.7965 13.8882 Å, 90.00 99.42 90.00°
Closest atoms and distances in Å follow each position.
Space group C2/m (No. 12)
Asymmetric unit:
Mn 0.0000 0.0000 0.0000  12 Ni 2.40-2.51
Ga 0.1728 0.0000 0.3605  1 Ni 2.40, 4 Pt 2.64-2.66
Ni 0.0000 0.5000 0.0000  4 Mn 2.40, 8 Ni 2.51
Ni 0.1866 0.2500 0.8651  6 Ni 2.40-2.51, 2 Mn 2.51, 2 Pt 2.60
Ni 0.2332 0.5000 0.4644  1 Ga 2.40, 1 Pt 2.55, 4 Ni 2.59
Pt 0.1323 0.5000 0.2785  5 Ni 2.55-2.60, 4 Ga 2.64-2.66

Values from the calculation:
For the formation energy, the calculation gives -0.079 eV/atom. As for the crystal system: monoclinic. The calculation puts the total energy at -5.73 eV per atom.

=====

Question: Number 4 is which compound?
Answer: MnGa2Ni7Pt2

=====

Question: Number 3 is which compound?
Answer: MnGa2NiPt